Run w
# FeIO2

Crystalline FeIO2 at its relaxed geometry (PBE+U, Alexandria).

Lattice parameters (Å, degrees): 3.1231 3.1231 23.9717 90.00 90.00 120.00
Space group R-3m (No. 166, hexagonal axes)
One atom of each set of equivalent atoms:
Fe 0.0000 0.0000 0.0000 (multiplicity 3)
I 0.0000 0.0000 0.5000 (multiplicity 3)
O 0.0000 0.0000 0.0668 (multiplicity 6)

=====

Run x
# FeIO2

Crystalline FeIO2 at its relaxed geometry (PBE+U, Alexandria).

Lattice parameters (Å, degrees): 3.2923 3.2923 18.9533 90.00 90.00 120.00
Space group R-3m (No. 166, hexagonal axes)
One atom of each set of equivalent atoms:
Fe 0.0000 0.0000 0.0000 (multiplicity 3)
I 0.0000 0.0000 0.5000 (multiplicity 3)
O 0.0000 0.0000 0.3845 (multiplicity 6)

=====

Which of them is the most stable, and which is the least stable? run x and run w, in that order.

=====

Run w
# FeIO2

Crystalline FeIO2 at its relaxed geometry (PBE+U, Alexandria).

Lattice parameters (Å, degrees): 5.9343 5.9343 5.9343 90.00 90.00 90.00
Space group Fm-3m (No. 225)
One atom of each set of equivalent atoms:
Fe 0.0000 0.0000 0.0000 (multiplicity 4)
I 0.0000 0.0000 0.5000 (multiplicity 4)
O 0.2500 0.2500 0.2500 (multiplicity 8)

=====

Run x
# FeIO2

Crystalline FeIO2 at its relaxed geometry (PBE+U, Alexandria).

Lattice parameters (Å, degrees): 5.6437 5.6437 8.9359 90.00 90.00 90.00
Space group I-42d (No. 122)
One atom of each set of equivalent atoms:
Fe 0.0000 0.0000 0.0000 (multiplicity 4)
I 0.0000 0.0000 0.5000 (multiplicity 4)
O 0.1048 0.2500 0.1250 (multiplicity 8)

=====

Which of them is the most stable, and which is the least stable? run x and run w, in that order.

=====

Run w
# Fe3IO

Crystalline Fe3IO at its relaxed geometry (PBE+U, Alexandria).

Lattice parameters (Å, degrees): 4.3771 4.3771 4.3771 90.00 90.00 90.00
Space group Pm-3m (No. 221)
One atom of each set of equivalent atoms:
Fe 0.0000 0.0000 0.5000 (multiplicity 3)
I 0.5000 0.5000 0.5000 (multiplicity 1)
O 0.0000 0.0000 0.0000 (multiplicity 1)

=====

Run x
# Fe3IO

Crystalline Fe3IO at its relaxed geometry (PBE+U, Alexandria).

Lattice parameters (Å, degrees): 4.8262 4.8262 4.8262 90.00 90.00 90.00
Space group Pm-3m (No. 221)
One atom of each set of equivalent atoms:
Fe 0.0000 0.0000 0.5000 (multiplicity 3)
I 0.0000 0.0000 0.0000 (multiplicity 1)
O 0.5000 0.5000 0.5000 (multiplicity 1)

=====

Which of them is the most stable, and which is the least stable? run w and run x, in that order.

=====

Run w
# FeReIO2

Crystalline FeReIO2 at its relaxed geometry (PBE+U, Alexandria).

Lattice parameters (Å, degrees): 3.8978 3.8978 6.0322 90.00 90.00 90.00
Space group P4/mmm (No. 123)
One atom of each set of equivalent atoms:
Fe 0.0000 0.0000 0.0000 (multiplicity 1)
Re 0.5000 0.5000 0.5000 (multiplicity 1)
I 0.0000 0.0000 0.5000 (multiplicity 1)
O 0.0000 0.5000 0.0000 (multiplicity 2)

=====

Run x
# FeReIO2

Crystalline FeReIO2 at its relaxed geometry (PBE+U, Alexandria).

Lattice parameters (Å, degrees): 3.8468 3.8468 6.4465 90.00 90.00 90.00
Space group P4/mmm (No. 123)
One atom of each set of equivalent atoms:
Fe 0.0000 0.0000 0.0000 (multiplicity 1)
Re 0.5000 0.5000 0.5000 (multiplicity 1)
I 0.5000 0.5000 0.0000 (multiplicity 1)
O 0.0000 0.5000 0.5000 (multiplicity 2)

=====

Which of them is the most stable, and which is the least stable? run x and run w, in that order.

=====

Run w
# FeRhIO2

Crystalline FeRhIO2 at its relaxed geometry (PBE+U, Alexandria).

Lattice parameters (Å, degrees): 3.8503 3.8503 7.0526 90.00 90.00 90.00
Space group P4/mmm (No. 123)
One atom of each set of equivalent atoms:
Fe 0.0000 0.0000 0.0000 (multiplicity 1)
Rh 0.5000 0.5000 0.5000 (multiplicity 1)
I 0.5000 0.5000 0.0000 (multiplicity 1)
O 0.0000 0.5000 0.5000 (multiplicity 2)

=====

Run x
# FeRhIO2

Crystalline FeRhIO2 at its relaxed geometry (PBE+U, Alexandria).

Lattice parameters (Å, degrees): 3.7812 3.7812 6.3430 90.00 90.00 90.00
Space group P4/mmm (No. 123)
One atom of each set of equivalent atoms:
Fe 0.0000 0.0000 0.0000 (multiplicity 1)
Rh 0.5000 0.5000 0.5000 (multiplicity 1)
I 0.0000 0.0000 0.5000 (multiplicity 1)
O 0.0000 0.5000 0.0000 (multiplicity 2)

=====

Which of them is the most stable, and which is the least stable? run x and run w, in that order.

=====

Run w
# FeRuIO2

Crystalline FeRuIO2 at its relaxed geometry (PBE+U, Alexandria).

Lattice parameters (Å, degrees): 3.7920 3.7920 6.4562 90.00 90.00 90.00
Space group P4/mmm (No. 123)
One atom of each set of equivalent atoms:
Fe 0.0000 0.0000 0.0000 (multiplicity 1)
Ru 0.5000 0.5000 0.5000 (multiplicity 1)
I 0.0000 0.0000 0.5000 (multiplicity 1)
O 0.0000 0.5000 0.0000 (multiplicity 2)

=====

Run x
# FeRuIO2

Crystalline FeRuIO2 at its relaxed geometry (PBE+U, Alexandria).

Lattice parameters (Å, degrees): 3.8095 3.8095 7.3668 90.00 90.00 90.00
Space group P4/mmm (No. 123)
One atom of each set of equivalent atoms:
Fe 0.0000 0.0000 0.0000 (multiplicity 1)
Ru 0.5000 0.5000 0.5000 (multiplicity 1)
I 0.5000 0.5000 0.0000 (multiplicity 1)
O 0.0000 0.5000 0.5000 (multiplicity 2)

=====

Which of them is the most stable, and which is the least stable? run x and run w, in that order.

=====

Run w
# FeSI2O

Crystalline FeSI2O at its relaxed geometry (PBE+U, Alexandria).

Lattice parameters (Å, degrees): 5.6332 5.6332 3.6281 90.00 90.00 90.00
Space group P4/mmm (No. 123)
One atom of each set of equivalent atoms:
Fe 0.0000 0.0000 0.0000 (multiplicity 1)
S 0.5000 0.5000 0.5000 (multiplicity 1)
I 0.0000 0.5000 0.0000 (multiplicity 2)
O 0.0000 0.0000 0.5000 (multiplicity 1)

=====

Run x
# FeSI2O

Crystalline FeSI2O at its relaxed geometry (PBE+U, Alexandria).

Lattice parameters (Å, degrees): 5.6876 5.6876 3.6673 90.00 90.00 90.00
Space group P4/mmm (No. 123)
One atom of each set of equivalent atoms:
Fe 0.0000 0.0000 0.0000 (multiplicity 1)
S 0.5000 0.5000 0.5000 (multiplicity 1)
I 0.0000 0.5000 0.5000 (multiplicity 2)
O 0.5000 0.5000 0.0000 (multiplicity 1)

=====

Which of them is the most stable, and which is the least stable? run w and run x, in that order.

=====

Run w
# FeSb2IO

Crystalline FeSb2IO at its relaxed geometry (PBE+U, Alexandria).

Lattice parameters (Å, degrees): 4.9879 4.9879 5.5981 90.00 90.00 90.00
Space group P4/mmm (No. 123)
One atom of each set of equivalent atoms:
Fe 0.0000 0.0000 0.0000 (multiplicity 1)
Sb 0.0000 0.5000 0.0000 (multiplicity 2)
I 0.0000 0.0000 0.5000 (multiplicity 1)
O 0.5000 0.5000 0.5000 (multiplicity 1)

=====

Run x
# FeSb2IO

Crystalline FeSb2IO at its relaxed geometry (PBE+U, Alexandria).

Lattice parameters (Å, degrees): 4.4645 4.4645 6.7047 90.00 90.00 90.00
Space group P4/mmm (No. 123)
One atom of each set of equivalent atoms:
Fe 0.0000 0.0000 0.0000 (multiplicity 1)
Sb 0.0000 0.5000 0.5000 (multiplicity 2)
I 0.5000 0.5000 0.0000 (multiplicity 1)
O 0.5000 0.5000 0.5000 (multiplicity 1)

=====

Which of them is the most stable, and which is the least stable? run x and run w, in that order.

=====

Run w
# ScFeIO2

Crystalline ScFeIO2 at its relaxed geometry (PBE+U, Alexandria).

Lattice parameters (Å, degrees): 4.0785 4.0785 5.8995 90.00 90.00 90.00
Space group P4/mmm (No. 123)
One atom of each set of equivalent atoms:
Sc 0.0000 0.0000 0.0000 (multiplicity 1)
Fe 0.5000 0.5000 0.5000 (multiplicity 1)
I 0.0000 0.0000 0.5000 (multiplicity 1)
O 0.0000 0.5000 0.0000 (multiplicity 2)

=====

Run x
# ScFeIO2

Crystalline ScFeIO2 at its relaxed geometry (PBE+U, Alexandria).

Lattice parameters (Å, degrees): 4.0042 4.0042 5.3497 90.00 90.00 90.00
Space group P4/mmm (No. 123)
One atom of each set of equivalent atoms:
Sc 0.0000 0.0000 0.0000 (multiplicity 1)
Fe 0.5000 0.5000 0.5000 (multiplicity 1)
I 0.5000 0.5000 0.0000 (multiplicity 1)
O 0.0000 0.5000 0.5000 (multiplicity 2)

=====

Which of them is the most stable, and which is the least stable? run w and run x, in that order.

=====

Run w
# FeSnI2O

Crystalline FeSnI2O at its relaxed geometry (PBE+U, Alexandria).

Lattice parameters (Å, degrees): 5.8315 5.8315 3.7622 90.00 90.00 90.00
Space group P4/mmm (No. 123)
One atom of each set of equivalent atoms:
Fe 0.0000 0.0000 0.0000 (multiplicity 1)
Sn 0.5000 0.5000 0.5000 (multiplicity 1)
I 0.0000 0.5000 0.0000 (multiplicity 2)
O 0.0000 0.0000 0.5000 (multiplicity 1)

=====

Run x
# FeSnI2O

Crystalline FeSnI2O at its relaxed geometry (PBE+U, Alexandria).

Lattice parameters (Å, degrees): 6.5342 6.5342 4.1794 90.00 90.00 90.00
Space group P4/mmm (No. 123)
One atom of each set of equivalent atoms:
Fe 0.0000 0.0000 0.0000 (multiplicity 1)
Sn 0.5000 0.5000 0.5000 (multiplicity 1)
I 0.0000 0.5000 0.5000 (multiplicity 2)
O 0.5000 0.5000 0.0000 (multiplicity 1)

=====

Which of them is the most stable, and which is the least stable? run w and run x, in that order.

=====

Run w
# FeSnIO2

Crystalline FeSnIO2 at its relaxed geometry (PBE+U, Alexandria).

Lattice parameters (Å, degrees): 4.0710 4.0710 6.4830 90.00 90.00 90.00
Space group P4/mmm (No. 123)
One atom of each set of equivalent atoms:
Fe 0.0000 0.0000 0.0000 (multiplicity 1)
Sn 0.5000 0.5000 0.5000 (multiplicity 1)
I 0.5000 0.5000 0.0000 (multiplicity 1)
O 0.0000 0.5000 0.5000 (multiplicity 2)

=====

Run x
# FeSnIO2

Crystalline FeSnIO2 at its relaxed geometry (PBE+U, Alexandria).

Lattice parameters (Å, degrees): 4.1907 4.1907 5.3941 90.00 90.00 90.00
Space group P4/mmm (No. 123)
One atom of each set of equivalent atoms:
Fe 0.0000 0.0000 0.0000 (multiplicity 1)
Sn 0.5000 0.5000 0.5000 (multiplicity 1)
I 0.0000 0.0000 0.5000 (multiplicity 1)
O 0.0000 0.5000 0.0000 (multiplicity 2)

=====

Which of them is the most stable, and which is the least stable? run w and run x, in that order.

=====

Run w
# SrFeIO2

Crystalline SrFeIO2 at its relaxed geometry (PBE+U, Alexandria).

Lattice parameters (Å, degrees): 4.2802 4.2802 5.3198 90.00 90.00 90.00
Space group P4/mmm (No. 123)
One atom of each set of equivalent atoms:
Sr 0.0000 0.0000 0.0000 (multiplicity 1)
Fe 0.5000 0.5000 0.5000 (multiplicity 1)
I 0.5000 0.5000 0.0000 (multiplicity 1)
O 0.0000 0.5000 0.5000 (multiplicity 2)

=====

Run x
# SrFeIO2

Crystalline SrFeIO2 at its relaxed geometry (PBE+U, Alexandria).

Lattice parameters (Å, degrees): 4.5721 4.5721 6.5844 90.00 90.00 90.00
Space group P4/mmm (No. 123)
One atom of each set of equivalent atoms:
Sr 0.0000 0.0000 0.0000 (multiplicity 1)
Fe 0.5000 0.5000 0.5000 (multiplicity 1)
I 0.0000 0.0000 0.5000 (multiplicity 1)
O 0.0000 0.5000 0.0000 (multiplicity 2)

=====

Which of them is the most stable, and which is the least stable? run w and run x, in that order.

=====

Run w
# TaFeIO2

Crystalline TaFeIO2 at its relaxed geometry (PBE+U, Alexandria).

Lattice parameters (Å, degrees): 3.9587 3.9587 5.4067 90.00 90.00 90.00
Space group P4/mmm (No. 123)
One atom of each set of equivalent atoms:
Ta 0.0000 0.0000 0.0000 (multiplicity 1)
Fe 0.5000 0.5000 0.5000 (multiplicity 1)
I 0.5000 0.5000 0.0000 (multiplicity 1)
O 0.0000 0.5000 0.5000 (multiplicity 2)

=====

Run x
# TaFeIO2

Crystalline TaFeIO2 at its relaxed geometry (PBE+U, Alexandria).

Lattice parameters (Å, degrees): 3.9453 3.9453 6.1605 90.00 90.00 90.00
Space group P4/mmm (No. 123)
One atom of each set of equivalent atoms:
Ta 0.0000 0.0000 0.0000 (multiplicity 1)
Fe 0.5000 0.5000 0.5000 (multiplicity 1)
I 0.0000 0.0000 0.5000 (multiplicity 1)
O 0.0000 0.5000 0.0000 (multiplicity 2)

=====

Which of them is the most stable, and which is the least stable? run x and run w, in that order.

=====

Run w
# TiFeIO2

Crystalline TiFeIO2 at its relaxed geometry (PBE+U, Alexandria).

Lattice parameters (Å, degrees): 3.9335 3.9335 5.5526 90.00 90.00 90.00
Space group P4/mmm (No. 123)
One atom of each set of equivalent atoms:
Ti 0.0000 0.0000 0.0000 (multiplicity 1)
Fe 0.5000 0.5000 0.5000 (multiplicity 1)
I 0.5000 0.5000 0.0000 (multiplicity 1)
O 0.0000 0.5000 0.5000 (multiplicity 2)

=====

Run x
# TiFeIO2

Crystalline TiFeIO2 at its relaxed geometry (PBE+U, Alexandria).

Lattice parameters (Å, degrees): 3.8954 3.8954 5.8429 90.00 90.00 90.00
Space group P4/mmm (No. 123)
One atom of each set of equivalent atoms:
Ti 0.0000 0.0000 0.0000 (multiplicity 1)
Fe 0.5000 0.5000 0.5000 (multiplicity 1)
I 0.0000 0.0000 0.5000 (multiplicity 1)
O 0.0000 0.5000 0.0000 (multiplicity 2)

=====

Which of them is the most stable, and which is the least stable? run x and run w, in that order.